Record 1
An optimized crystal structure of Zn2AsP, computed with PBE.

Summary:
- electronic total energy (Ry per atom) = -0.2099
- crystal system = orthorhombic
- total magnetic moment (μB/atom) = 0.00

Geometry as POSCAR:
```
Zn2AsP
1.0
-1.0050 0.9277 3.3867
-3.5264 -0.9026 -0.7992
0.8607 -4.7385 1.5534
Zn As P
2 1 1
Cartesian
0.0000 0.0000 0.0000 Zn
-0.0721 -1.9054 2.4700 Zn
-2.2657 0.0126 1.2937 As
-1.3328 -2.8205 0.3771 P
```

=====

Record 2
An optimized crystal structure of Ca3Pt5, computed with PBE.

Summary:
- electronic total energy (Ry per atom) = -0.3691
- crystal system = hexagonal
- total magnetic moment (μB/atom) = 0.03

Geometry as POSCAR:
```
Ca3Pt5
1.0
-1.9312 0.6871 -8.6631
-5.8122 -3.8033 5.5681
-2.1208 4.4498 0.8257
Ca Pt
6 10
Cartesian
-3.7711 1.9105 2.7082 Ca
-4.1619 -1.2640 3.6856 Ca
-2.3151 3.5951 -2.6308 Ca
-3.4352 -0.0566 -0.9547 Ca
-1.7369 1.5418 -5.2066 Ca
-6.4290 1.3902 -1.3146 Ca
-1.5701 0.4320 1.2026 Pt
-6.3629 0.2145 5.1911 Pt
-0.8757 1.2354 -1.3436 Pt
-2.9762 2.7799 0.0646 Pt
-4.5185 -2.3065 0.8244 Pt
-5.5789 -0.0816 1.2372 Pt
-3.2249 -0.8097 -3.9194 Pt
-4.2853 1.4152 -3.5065 Pt
-3.1763 3.9015 -6.4938 Pt
-6.8882 -1.4462 -2.3348 Pt
```

=====

Record 3
An optimized crystal structure of K3Pm3SnSe8, computed with PBE.

Summary:
- electronic total energy (Ry per atom) = -0.3484
- crystal system = trigonal
- total magnetic moment (μB/atom) = 0.00
- ΔE_f (raw) (meV per atom) = -1445

Geometry as POSCAR:
```
K3Pm3SnSe8
1.0
8.4774 -0.0002 -0.0001
-4.2389 7.3407 -0.0302
0.0000 -4.8638 7.8845
K Pm Sn Se
3 3 1 8
Cartesian
0.0000 0.0000 0.0000 K
-2.1194 3.6703 -0.0151 K
2.1193 3.6703 -0.0151 K
4.2387 -2.4320 3.9422 Pm
2.1193 1.2384 3.9271 Pm
-2.1194 1.2385 3.9272 Pm
0.0000 -2.4319 3.9423 Sn
-0.0001 2.4556 2.2856 Se
4.2386 0.0211 5.5686 Se
4.2386 2.5993 2.3423 Se
0.0000 -0.1225 5.5119 Se
6.4820 -1.2860 2.3581 Se
-2.2434 3.7628 5.4961 Se
1.9953 -1.2860 2.3582 Se
2.2432 3.7627 5.4961 Se
```

=====

Record 4
An optimized crystal structure of Sm2EuGd, computed with PBE.

Summary:
- electronic total energy (Ry per atom) = -0.6101
- crystal system = cubic
- total magnetic moment (μB/atom) = 0.27

Geometry as POSCAR:
```
Sm2EuGd
1.0
5.8206 0.0000 0.0000
2.9103 5.0408 0.0000
2.9103 1.6803 4.7525
Eu Gd Sm
1 1 2
Cartesian
0.0000 0.0000 0.0000 Eu
5.8206 3.3605 2.3762 Gd
2.9103 1.6803 1.1881 Sm
8.7309 5.0408 3.5644 Sm
```